Record 1
A geometry-optimized Y2TlPCl structure. Source: the Alexandria database, functional PBE-GGA.

Lattice parameters (Å, degrees): 5.1056 5.1056 5.1281 90.00 90.00 90.00
Last column: nearest neighbours and their distance in Å.
Space group P4/mmm (No. 123)
Unique sites:
Y  0.0000  0.5000  0.0000 [2 per cell]  2 Cl 2.55
Tl  0.0000  0.0000  0.5000 [1 per cell]  4 P 3.61, 8 Y 3.62
P  0.5000  0.5000  0.5000 [1 per cell]  2 Cl 2.56
Cl  0.5000  0.5000  0.0000 [1 per cell]  4 Y 2.55, 2 P 2.56

Record 2
A geometry-optimized YTlP2Cl structure. Source: the Alexandria database, functional PBE-GGA.

Lattice parameters (Å, degrees): 5.3811 5.3811 5.3492 90.00 90.00 90.00
Last column: nearest neighbours and their distance in Å.
Space group P4/mmm (No. 123)
Unique sites:
Y  0.0000  0.0000  0.0000 [1 per cell]  2 Cl 2.67, 4 P 2.69
Tl  0.5000  0.5000  0.5000 [1 per cell]  8 P 3.79, 4 Cl 3.80
P  0.0000  0.5000  0.0000 [2 per cell]  2 Y 2.69
Cl  0.0000  0.0000  0.5000 [1 per cell]  2 Y 2.67

Record 3
A geometry-optimized YTlPCl2 structure. Source: the Alexandria database, functional PBE-GGA.

Lattice parameters (Å, degrees): 5.2752 5.2752 5.5567 90.00 90.00 90.00
Last column: nearest neighbours and their distance in Å.
Space group P4/mmm (No. 123)
Unique sites:
Y  0.0000  0.0000  0.0000 [1 per cell]  4 Cl 2.64, 2 P 2.78
Tl  0.5000  0.5000  0.5000 [1 per cell]  4 P 3.73, 8 Cl 3.83
P  0.0000  0.0000  0.5000 [1 per cell]  2 Y 2.78
Cl  0.0000  0.5000  0.0000 [2 per cell]  2 Y 2.64

Record 4
A geometry-optimized ZrTlPCl2 structure. Source: the Alexandria database, functional PBE-GGA.

Lattice parameters (Å, degrees): 5.1732 5.1732 5.2556 90.00 90.00 90.00
Last column: nearest neighbours and their distance in Å.
Space group P4/mmm (No. 123)
Unique sites:
Zr  0.0000  0.0000  0.0000 [1 per cell]  4 P 3.66, 8 Cl 3.69
Tl  0.5000  0.5000  0.5000 [1 per cell]  4 Cl 2.59, 2 P 2.63
P  0.5000  0.5000  0.0000 [1 per cell]  2 Tl 2.63
Cl  0.0000  0.5000  0.5000 [2 per cell]  2 Tl 2.59

Record 5
A geometry-optimized ZrTlPCl2 structure. Source: the Alexandria database, functional PBE-GGA.

Lattice parameters (Å, degrees): 5.1525 5.1525 5.1091 90.00 90.00 90.00
Last column: nearest neighbours and their distance in Å.
Space group P4/mmm (No. 123)
Unique sites:
Zr  0.0000  0.0000  0.0000 [1 per cell]  2 P 2.55, 4 Cl 2.58
Tl  0.5000  0.5000  0.5000 [1 per cell]  8 Cl 3.63, 4 P 3.64
P  0.0000  0.0000  0.5000 [1 per cell]  2 Zr 2.55
Cl  0.0000  0.5000  0.0000 [2 per cell]  2 Zr 2.58

Record 6
A geometry-optimized Tm4P3Cl structure. Source: the Alexandria database, functional PBE-GGA.

Lattice parameters (Å, degrees): 7.9074 11.1290 3.9333 90.00 90.00 90.00
Last column: nearest neighbours and their distance in Å.
Space group Cmmm (No. 65)
Unique sites:
Tm  0.0000  0.2409  0.0000 [4 per cell]  5 P 2.68-2.79, 1 Cl 2.88
Tm  0.2287  0.0000  0.5000 [4 per cell]  4 P 2.67-2.79, 2 Cl 2.91
P  0.0000  0.0000  0.0000 [2 per cell]  6 Tm 2.67-2.68
P  0.2500  0.2500  0.5000 [4 per cell]  6 Tm 2.79
Cl  0.0000  0.5000  0.0000 [2 per cell]  6 Tm 2.88-2.91

The following density of states at the Fermi level values (in states/eV/f.u.) correspond, in order, to the records above: 3.39 3.92 2.67 4.48 1.59 2.20.
The following formation energy from raw total energies values (in meV per atom) correspond, in order, to the records above: -148 -264 -1041 470 -853 -1588.